Below is crystalline KSr2Ag at its relaxed geometry, with properties calculated at the PBE-GGA level.

Cell and atoms, written as extended XYZ:
```
4
Lattice="5.726 0.000 0.000 0.000 5.726 0.000 0.000 0.000 5.106" Properties=species:S:1:pos:R:3 pbc="T T T"
K 0.000 0.000 0.000
Sr 0.000 2.863 2.553
Sr 2.863 0.000 2.553
Ag 2.863 2.863 0.000
```

Raw total energy in eV per atom: -1.71
Space-group type: No. 123
Calculated formation energy in eV per formula unit: 0.5
DOS at the Fermi energy in states/eV/cell: 3.491
ρ in Mg/m³: 3.20
Relative energy among the computed polymorphs in eV/atom: 0.209



Below is crystalline YZn5Cu2 at its relaxed geometry, with properties calculated at the PBE-GGA level.

Cell and atoms, written as extended XYZ:
```
8
Lattice="-1.937 3.603 4.728 1.937 -3.603 4.728 1.937 3.603 -4.728" Properties=species:S:1:pos:R:3 pbc="T T T"
Y 0.000 0.000 0.000
Zn 1.937 2.247 -1.382
Zn 1.937 2.247 1.382
Zn 0.000 3.603 0.000
Zn 0.000 1.357 3.346
Zn 0.000 1.357 6.111
Cu 1.937 0.000 2.298
Cu 0.000 3.603 2.430
```

Raw total energy in eV per atom: -2.84
Space-group type: No. 71
Calculated formation energy in eV per formula unit: -1.7
DOS at the Fermi energy in states/eV/cell: 2.859
ρ in Mg/m³: 6.83



Below is crystalline Ca2ZnPb at its relaxed geometry, with properties calculated at the PBE-GGA level.

Cell and atoms, written as extended XYZ:
```
4
Lattice="3.794 0.000 0.000 0.000 3.736 0.000 -0.011 0.000 7.770" Properties=species:S:1:pos:R:3 pbc="T T T"
Ca -0.002 0.000 1.803
Ca 3.785 0.000 5.967
Zn 1.897 1.868 0.000
Pb 1.892 1.868 3.885
```

Raw total energy in eV per atom: -2.66
Space-group type: No. 10
Calculated formation energy in eV per formula unit: -1.6
DOS at the Fermi energy in states/eV/cell: 1.297
ρ in Mg/m³: 5.32



Below is crystalline Cu2Au at its relaxed geometry, with properties calculated at the PBE-GGA level.

Cell and atoms, written as extended XYZ:
```
3
Lattice="-1.570 1.570 4.285 1.570 -1.570 4.285 1.570 1.570 -4.285" Properties=species:S:1:pos:R:3 pbc="T T T"
Cu 0.000 0.000 1.519
Cu 0.000 0.000 7.051
Au 0.000 0.000 4.285
```

Raw total energy in eV per atom: -3.84
Space-group type: No. 139
Calculated formation energy in eV per formula unit: -0.1
DOS at the Fermi energy in states/eV/cell: 0.818
ρ in Mg/m³: 12.74
Relative energy among the computed polymorphs in eV/atom: 0.019



Below is crystalline Si2RuS at its relaxed geometry, with properties calculated at the PBE-GGA level.

Cell and atoms, written as extended XYZ:
```
8
Lattice="-2.790 2.790 4.856 2.790 -2.790 4.856 2.790 2.790 -4.856" Properties=species:S:1:pos:R:3 pbc="T T T"
Si 4.185 1.337 -1.214
Si 1.337 1.395 1.214
Si -1.395 1.453 3.642
Si 1.453 1.395 6.070
Ru 0.000 0.000 0.000
Ru 0.000 2.790 2.428
S 2.790 0.000 2.428
S 0.000 0.000 4.856
```

Raw total energy in eV per atom: -6.00
Space-group type: No. 122
DOS at the Fermi energy in states/eV/cell: 0.630
Raw formation energy in eV/atom: 0.060
ρ in Mg/m³: 4.16



Below is crystalline Dy4PbSe2 at its relaxed geometry, with properties calculated at the PBE-GGA level.

Cell and atoms, written as extended XYZ:
```
14
Lattice="2.110 -6.579 0.000 2.110 6.579 0.000 0.000 0.000 13.734" Properties=species:S:1:pos:R:3 pbc="T T T"
Dy 0.000 0.000 0.000
Dy 0.000 0.000 6.867
Dy 2.110 3.061 8.551
Dy 2.110 3.061 12.051
Dy 2.110 0.836 3.434
Dy 2.110 -0.836 10.301
Dy 2.110 -3.061 1.684
Dy 2.110 -3.061 5.183
Pb 2.110 5.154 3.434
Pb 2.110 -5.154 10.301
Se 2.110 1.775 0.800
Se 2.110 1.775 6.067
Se 2.110 -1.775 7.667
Se 2.110 -1.775 12.934
```

Raw total energy in eV per atom: -5.33
Space-group type: No. 63
DOS at the Fermi energy in states/eV/cell: 10.442
Raw formation energy in eV/atom: -1.172
ρ in Mg/m³: 8.84



Below is crystalline YPuThCd at its relaxed geometry, with properties calculated at the PBE-GGA level.

Cell and atoms, written as extended XYZ:
```
4
Lattice="0.000 3.836 3.836 3.836 0.000 3.836 3.836 3.836 0.000" Properties=species:S:1:pos:R:3 pbc="T T T"
Y 0.000 0.000 0.000
Pu 5.753 5.753 5.753
Th 3.836 3.836 3.836
Cd 1.918 1.918 1.918
```

Raw total energy in eV per atom: -7.19
Space-group type: No. 216
Calculated formation energy in eV per formula unit: 0.4
DOS at the Fermi energy in states/eV/cell: 17.358
ρ in Mg/m³: 9.97



Below is crystalline SmSbPb at its relaxed geometry, with properties calculated at the PBE-GGA level.

Cell and atoms, written as extended XYZ:
```
6
Lattice="4.289 0.000 0.000 0.000 4.289 0.000 0.000 0.000 10.840" Properties=species:S:1:pos:R:3 pbc="T T T"
Sm 1.072 1.072 1.300
Sm 3.216 3.216 9.540
Sb 1.072 1.072 8.882
Sb 3.216 3.216 1.958
Pb 1.072 1.072 4.619
Pb 3.216 3.216 6.221
```

Raw total energy in eV per atom: -4.67
Space-group type: No. 129
DOS at the Fermi energy in states/eV/cell: 4.027
Raw formation energy in eV/atom: -0.485
ρ in Mg/m³: 7.98



Below is crystalline SnTe2RuI at its relaxed geometry, with properties calculated at the PBE-GGA level.

Cell and atoms, written as extended XYZ:
```
5
Lattice="5.708 0.000 0.000 0.000 5.708 0.000 0.000 0.000 5.864" Properties=species:S:1:pos:R:3 pbc="T T T"
Sn 0.000 0.000 0.000
Te 0.000 2.854 0.000
Te 2.854 0.000 0.000
Ru 2.854 2.854 2.932
I 0.000 0.000 2.932
```

Raw total energy in eV per atom: -3.06
Space-group type: No. 123
DOS at the Fermi energy in states/eV/cell: 5.651
Raw formation energy in eV/atom: 1.167
ρ in Mg/m³: 5.23
Relative energy among the computed polymorphs in eV/atom: 0.826



Below is crystalline Ho3ScAu2 at its relaxed geometry, with properties calculated at the PBE-GGA level.

Cell and atoms, written as extended XYZ:
```
12
Lattice="4.919 0.000 0.000 0.000 8.881 0.000 0.000 0.000 6.839" Properties=species:S:1:pos:R:3 pbc="T T T"
Ho 0.000 0.610 0.000
Ho 0.000 2.996 2.422
Ho 0.000 5.885 5.842
Ho 0.000 8.271 3.420
Ho 2.459 1.548 4.549
Ho 2.459 7.333 1.129
Sc 2.459 3.817 0.152
Sc 2.459 5.063 3.572
Au 0.000 3.078 5.311
Au 0.000 5.802 1.891
Au 2.459 1.386 1.671
Au 2.459 7.495 5.091
```

Raw total energy in eV per atom: -5.06
Space-group type: No. 26
Calculated formation energy in eV per formula unit: -3.7
DOS at the Fermi energy in states/eV/cell: 12.811
ρ in Mg/m³: 10.38



Below is crystalline Pr2Er3S4 at its relaxed geometry, with properties calculated at the PBE-GGA level.

Cell and atoms, written as extended XYZ:
```
9
Lattice="6.451 -1.945 0.000 6.451 1.945 0.000 -4.616 0.000 8.519" Properties=species:S:1:pos:R:3 pbc="T T T"
Pr -0.595 0.000 3.455
Pr 8.880 0.000 5.065
Er 2.913 0.000 1.662
Er 6.451 0.000 0.000
Er 5.372 0.000 6.857
S -2.835 0.000 7.743
S 0.610 0.000 6.084
S 7.675 0.000 2.435
S 11.121 0.000 0.776
```

Raw total energy in eV per atom: -6.17
Space-group type: No. 12
DOS at the Fermi energy in states/eV/cell: 4.746
Raw formation energy in eV/atom: -1.750
ρ in Mg/m³: 7.08



Below is crystalline LaPaTl at its relaxed geometry, with properties calculated at the PBE-GGA level.

Cell and atoms, written as extended XYZ:
```
3
Lattice="5.407 0.000 0.000 -2.704 4.683 0.000 0.000 0.000 3.162" Properties=species:S:1:pos:R:3 pbc="T T T"
La 0.000 0.000 0.000
Pa 0.000 3.122 0.000
Tl 2.704 1.561 1.581
```

Raw total energy in eV per atom: -5.37
Space-group type: No. 187
Calculated formation energy in eV per formula unit: 0.7
DOS at the Fermi energy in states/eV/cell: 4.430
ρ in Mg/m³: 11.91
Relative energy among the computed polymorphs in eV/atom: 0.006